First-principles (PBE-GGA) data for a relaxed Sr2Zn3Ga4Ni crystal, as listed in Alexandria.

Calculated values
Raw total energy: -2.844 eV/atom
DOS(E_F): 5.5 states/eV/cell
Mass density: 5.8 g/cm³

Unit cell a=4.390 b=4.390 c=10.534 alpha=90.00 beta=90.00 gamma=90.00
Positions (direct):
Sr 0.000 0.500 0.244
Sr 0.500 0.000 0.756
Zn 0.000 0.000 0.000
Zn 0.000 0.500 0.638
Zn 0.500 0.000 0.362
Ga 0.000 0.000 0.500
Ga 0.000 0.500 0.884
Ga 0.500 0.000 0.116
Ga 0.500 0.500 0.500
Ni 0.500 0.500 0.000



First-principles (PBE-GGA) data for a relaxed SrPb6 crystal, as listed in Alexandria.

Calculated values
Raw total energy: -3.539 eV/atom
DOS(E_F): 13.2 states/eV/cell
Mass density: 9.3 g/cm³
Energy above the lowest structure with this stoichiometry: 0 meV/atom

Unit cell a=11.906 b=6.492 c=12.312 alpha=90.00 beta=90.00 gamma=90.00
Positions (direct):
Sr 0.208 0.250 0.112
Sr 0.292 0.750 0.612
Sr 0.708 0.250 0.388
Sr 0.792 0.750 0.888
Pb 0.023 0.750 0.102
Pb 0.027 0.501 0.356
Pb 0.027 0.999 0.356
Pb 0.106 0.750 0.850
Pb 0.192 0.250 0.530
Pb 0.231 0.250 0.793
Pb 0.269 0.750 0.293
Pb 0.308 0.750 0.030
Pb 0.394 0.250 0.350
Pb 0.473 0.001 0.856
Pb 0.473 0.499 0.856
Pb 0.477 0.250 0.602
Pb 0.523 0.750 0.398
Pb 0.527 0.501 0.144
Pb 0.527 0.999 0.144
Pb 0.606 0.750 0.650
Pb 0.692 0.250 0.970
Pb 0.731 0.250 0.707
Pb 0.769 0.750 0.207
Pb 0.808 0.750 0.470
Pb 0.894 0.250 0.150
Pb 0.973 0.001 0.644
Pb 0.973 0.499 0.644
Pb 0.977 0.250 0.898